Below is crystalline As3Pb at its relaxed geometry, with properties calculated at the PBE-GGA level.

extended XYZ file:
```
8
Lattice="6.9457 0.0000 0.0000 -3.4728 6.0151 0.0000 0.0000 0.0000 4.4889" Properties=species:S:1:pos:R:3 pbc="T T T"
As 0.0000 1.7125 1.1222
As -1.9897 5.1589 1.1222
As 1.4831 0.8563 3.3667
As 1.9897 5.1589 1.1222
As 5.4626 0.8563 3.3667
As 3.4728 4.3026 3.3667
Pb 0.0000 4.0101 3.3667
Pb 3.4728 2.0050 1.1222
```

Values from the calculation:
For the energy above the most stable polymorph in this dataset, the calculation gives 263 meV/atom. The uncorrected energy is -16.44 eV/f.u. The calculation puts the theoretical density at 7.65 Mg/m³. The crystal system is hexagonal. Its energy of formation from the pure elements is 304.5 meV per atom. Its symmetry is P6_3/mmc (194).

=====

Below is crystalline AsPb at its relaxed geometry, with properties calculated at the PBE-GGA level.

extended XYZ file:
```
8
Lattice="4.8764 0.0000 0.0000 -2.4382 4.2231 0.0000 0.0000 0.0000 10.5627" Properties=species:S:1:pos:R:3 pbc="T T T"
As 0.0000 0.0000 2.6407
As 0.0000 0.0000 7.9220
As 0.0000 2.8154 2.6407
As 2.4382 1.4077 7.9220
Pb 0.0000 2.8154 6.2381
Pb 0.0000 2.8154 9.6060
Pb 2.4382 1.4077 0.9567
Pb 2.4382 1.4077 4.3246
```

Values from the calculation:
The uncorrected energy is -7.87 eV/f.u. The calculation puts the theoretical density at 8.61 Mg/m³. The crystal system is hexagonal. Its energy of formation from the pure elements is 242.6 meV per atom. Its symmetry is P6_3/mmc (194).

=====

- The lowest energy of formation from the pure elements belongs to which entry?
  AsPb

=====

- energy of formation from the pure elements of number 2 (AsPb)?
  242.6 meV per atom

=====

- What is the uncorrected energy in the first record?
  -16.44 eV/f.u.